No. 1
6
Lattice="1.974 -4.697 0.360 3.127 -1.167 3.867 -1.575 -3.155 3.695" Properties=species:S:1:pos:R:3 comment="MnMoOs4 PBE-GGA relaxed" dos_ef_per_ev_atom=1.373 e_form_ev_per_atom=0.48 energy_ev_per_atom=-10.336 volume_a3_per_atom=15.7 m_tot_mub_per_atom=0.6196 pbc="T T T"
Mn 0.881 -2.255 1.981
Mo 0.000 0.000 0.000
Os 2.987 -4.061 3.107
Os 0.644 -5.052 3.021
Os 2.202 -5.633 4.948
Os 1.218 -3.293 4.768

---

No. 2
4
Lattice="-1.039 0.807 -2.392 -0.359 -3.611 -1.062 -5.037 -0.130 2.145" Properties=species:S:1:pos:R:3 comment="MnMoOs2 PBE-GGA relaxed" dos_ef_per_ev_atom=1.045 e_form_ev_per_atom=0.10 energy_ev_per_atom=-10.518 de_polymorph_ev_per_atom=0.053 volume_a3_per_atom=14.1 m_tot_mub_per_atom=0.3536 pbc="T T T"
Mn -1.958 -1.434 -1.191
Mo -4.477 -1.500 -0.119
Os -0.078 -0.002 0.033
Os -2.440 -0.063 1.039

---

No. 3
4
Lattice="-0.309 -2.048 -3.817 3.071 -2.825 -1.203 -0.886 -4.250 -0.119" Properties=species:S:1:pos:R:3 comment="MnMoOs2 PBE-GGA relaxed" dos_ef_per_ev_atom=0.945 e_form_ev_per_atom=0.31 energy_ev_per_atom=-10.309 de_polymorph_ev_per_atom=0.261 volume_a3_per_atom=14.5 m_tot_mub_per_atom=0.7664 pbc="T T T"
Mn 0.938 -4.562 -2.570
Mo 0.469 -2.281 -1.285
Os 0.000 0.000 0.000
Os 1.407 -6.843 -3.854

---

No. 4
4
Lattice="3.080 0.000 0.000 0.000 3.080 0.000 0.000 0.000 6.085" Properties=species:S:1:pos:R:3 comment="MnMoOs2 PBE-GGA relaxed" dos_ef_per_ev_atom=0.973 e_form_ev_per_atom=0.16 energy_ev_per_atom=-10.452 de_polymorph_ev_per_atom=0.118 volume_a3_per_atom=14.4 m_tot_mub_per_atom=0.8771 pbc="T T T"
Mn 1.540 1.540 1.521
Mo 1.540 1.540 4.564
Os 0.000 0.000 0.095
Os 0.000 0.000 2.948

---

No. 5
4
Lattice="-2.280 -4.029 -0.876 2.033 -2.237 -3.614 1.757 1.834 3.968" Properties=species:S:1:pos:R:3 comment="MnMoOs2 PBE-GGA relaxed" dos_ef_per_ev_atom=1.028 e_form_ev_per_atom=0.07 energy_ev_per_atom=-10.542 de_polymorph_ev_per_atom=0.028 volume_a3_per_atom=14.1 m_tot_mub_per_atom=0.3531 pbc="T T T"
Mn -0.123 -3.133 -2.245
Mo -0.323 -2.664 0.424
Os 0.000 0.000 0.000
Os 1.834 -1.768 -0.945

---

No. 6
4
Lattice="8.786 0.003 0.002 8.369 2.676 0.002 8.369 1.307 2.335" Properties=species:S:1:pos:R:3 comment="Mn2MoOs PBE-GGA relaxed" dos_ef_per_ev_atom=1.178 e_form_ev_per_atom=0.22 energy_ev_per_atom=-9.884 volume_a3_per_atom=13.7 m_tot_mub_per_atom=0.0623 pbc="T T T"
Mn 25.427 3.971 2.330
Mn 6.538 1.021 0.599
Mo 12.782 1.996 1.171
Os 19.065 2.977 1.747

---

No. 7
4
Lattice="5.199 0.001 -0.002 -2.422 4.600 -0.002 0.589 0.976 2.428" Properties=species:S:1:pos:R:3 comment="MnMoOs2 PBE-GGA relaxed" dos_ef_per_ev_atom=1.005 e_form_ev_per_atom=0.28 energy_ev_per_atom=-10.339 de_polymorph_ev_per_atom=0.231 volume_a3_per_atom=14.5 m_tot_mub_per_atom=0.7259 pbc="T T T"
Mn 2.894 0.489 1.213
Mo -0.916 2.788 1.213
Os 0.000 0.000 0.000
Os 1.389 2.301 -0.002

---

No. 8
4
Lattice="-4.000 -3.123 1.102 4.233 -0.816 2.247 -0.698 0.744 2.431" Properties=species:S:1:pos:R:3 comment="Mn2MoOs PBE-GGA relaxed" dos_ef_per_ev_atom=0.737 e_form_ev_per_atom=0.16 energy_ev_per_atom=-9.941 volume_a3_per_atom=13.6 m_tot_mub_per_atom=0.9822 pbc="T T T"
Mn 0.000 0.000 0.000
Mn -2.349 -1.189 1.767
Mo 1.767 -0.036 2.339
Os 0.116 -1.969 1.675

---

Please write out number 2 again, unchanged.
4
Lattice="-1.039 0.807 -2.392 -0.359 -3.611 -1.062 -5.037 -0.130 2.145" Properties=species:S:1:pos:R:3 comment="MnMoOs2 PBE-GGA relaxed" dos_ef_per_ev_atom=1.045 e_form_ev_per_atom=0.10 energy_ev_per_atom=-10.518 de_polymorph_ev_per_atom=0.053 volume_a3_per_atom=14.1 m_tot_mub_per_atom=0.3536 pbc="T T T"
Mn -1.958 -1.434 -1.191
Mo -4.477 -1.500 -0.119
Os -0.078 -0.002 0.033
Os -2.440 -0.063 1.039

---

Question: Which formula does entry 1 have?
Answer: MnMoOs4